Below is BaIr2Pt after structural relaxation, with properties calculated at the PBE level.

For the calculated formation energy, the calculation gives 2.61 eV per formula unit. The value obtained for the energy above the most stable polymorph in this dataset is 860.9 meV/atom. As for the total magnetic moment: 0.00 μB/f.u. The value obtained for the calculated density is 15.6 g cm⁻³.

The space group is R3m (No. 160, hexagonal axes) and the conventional cell measures 2.9588, 2.9588 and 30.1442 Å, with angles of 90.00, 90.00 and 120.00 degrees. The inequivalent atoms are Ba at (0.0000, 0.0000, 0.0000), Ir at (0.0000, 0.0000, 0.2366), Ir at (0.0000, 0.0000, 0.5020) and Pt at (0.0000, 0.0000, 0.7625).